No. 1
Computed, not measured: a geometry-optimized AcDyBi2 structure at the GGA-PBE level of DFT.

a = 4.2504 Å, b = 4.2504 Å, c = 7.1967 Å
α = 90.00°, β = 90.00°, γ = 90.00°
With the nearest neighbours (Å) after each atom.
Space group P4/mmm (No. 123)
Inequivalent atoms, fractional coordinates:
Ac: 0.0000 0.0000 0.0000 x1  8 Bi 3.57, 2 Dy 3.60
Dy: 0.0000 0.0000 0.5000 x1  8 Bi 3.44, 2 Ac 3.60
Bi: 0.5000 0.5000 0.2688 x2  1 Bi 3.33, 4 Dy 3.44, 4 Ac 3.57

For the energy of formation from the pure elements, the calculation gives -673 meV/atom. The value obtained for the density of states at the Fermi level is 2.3 states/eV/f.u.

---

No. 2
Computed, not measured: a geometry-optimized HoBiPb structure at the GGA-PBE level of DFT.

a = 7.4879 Å, b = 7.4879 Å, c = 7.4879 Å
α = 90.00°, β = 90.00°, γ = 90.00°
With the nearest neighbours (Å) after each atom.
Space group P2_13 (No. 198)
Inequivalent atoms, fractional coordinates:
Ho: 0.0336 0.0336 0.0336 x4  4 Bi 3.14-3.37, 3 Pb 3.30
Bi: 0.2083 0.2917 0.7083 x4  4 Ho 3.14-3.37, 4 Pb 3.28-3.40
Pb: 0.0296 0.9704 0.4704 x4  4 Bi 3.28-3.40, 3 Ho 3.30

For the energy of formation from the pure elements, the calculation gives -75 meV/atom. The value obtained for the density of states at the Fermi level is 1.9 states/eV/f.u.

---

No. 3
Computed, not measured: a geometry-optimized ScPaTiO6 structure at the GGA-PBE level of DFT.

a = 5.2427 Å, b = 5.2427 Å, c = 9.5520 Å
α = 90.00°, β = 90.00°, γ = 120.00°
With the nearest neighbours (Å) after each atom.
Space group P-31c (No. 163)
Inequivalent atoms, fractional coordinates:
Sc: 0.3333 0.6667 0.2500 x2  6 O 2.11
Pa: 0.0000 0.0000 0.0000 x2  6 O 2.21
Ti: 0.3333 0.6667 0.7500 x2  6 O 1.98
O: 0.0191 0.3514 0.6347 x12  1 Ti 1.98, 1 Sc 2.11, 1 Pa 2.21

The value obtained for the uncorrected formation energy is -3372 meV/atom. The value obtained for the density of states at the Fermi level is 0.0 states/eV/f.u.

---

No. 4
Computed, not measured: a geometry-optimized ScSbSe2 structure at the GGA-PBE level of DFT.

a = 3.6902 Å, b = 6.5664 Å, c = 8.3143 Å
α = 90.00°, β = 90.00°, γ = 90.00°
With the nearest neighbours (Å) after each atom.
Space group Immm (No. 71)
Inequivalent atoms, fractional coordinates:
Sc: 0.0000 0.0000 0.0000 x2  4 Se 2.67
Sb: 0.0000 0.0000 0.5000 x2  4 Se 2.90
Se: 0.0000 0.5000 0.2684 x4  2 Sc 2.67, 2 Sb 2.90

The value obtained for the uncorrected formation energy is -544 meV/atom. The value obtained for the density of states at the Fermi level is 1.8 states/eV/f.u.

---

No. 5
Computed, not measured: a geometry-optimized Ca2TlH6Ir structure at the GGA-PBE level of DFT.

a = 4.7651 Å, b = 4.7651 Å, c = 7.0909 Å
α = 90.00°, β = 90.00°, γ = 120.00°
With the nearest neighbours (Å) after each atom.
Space group P-3m1 (No. 164)
Inequivalent atoms, fractional coordinates:
Ca: 0.3333 0.6667 0.3000 x2  6 H 2.43
Tl: 0.0000 0.0000 0.0000 x1  6 H 2.95
H: 0.1686 0.3371 0.6338 x6  1 Ir 1.68
Ir: 0.0000 0.0000 0.5000 x1  6 H 1.68

The value obtained for the density of states at the Fermi level is 2.4 states/eV/f.u.

---

No. 6
Computed, not measured: a geometry-optimized Pr3ErCd structure at the GGA-PBE level of DFT.

a = 19.8189 Å, b = 3.7683 Å, c = 8.8483 Å
α = 90.00°, β = 103.62°, γ = 90.00°
With the nearest neighbours (Å) after each atom.
Space group C2/m (No. 12)
Inequivalent atoms, fractional coordinates:
Pr: 0.0054 0.0000 0.2875 x4  4 Cd 3.30-3.48, 3 Pr 3.51-3.62
Pr: 0.0986 0.5000 0.0334 x4  3 Er 3.60-3.77, 9 Pr 3.62-3.81, 1 Cd 3.99
Pr: 0.1874 0.0000 0.3760 x4  2 Cd 3.32, 5 Pr 3.46-3.65, 2 Er 3.65
Er: 0.2063 0.0000 0.8343 x4  2 Cd 3.19, 2 Er 3.57
Cd: 0.1068 0.5000 0.5876 x4  2 Er 3.19, 6 Pr 3.30-3.48

For the energy of formation from the pure elements, the calculation gives -101 meV/atom. The value obtained for the density of states at the Fermi level is 6.0 states/eV/f.u.

---

No. 7
Computed, not measured: a geometry-optimized Na2SnSb structure at the GGA-PBE level of DFT.

a = 3.2585 Å, b = 3.2585 Å, c = 9.8841 Å
α = 90.00°, β = 90.00°, γ = 90.00°
With the nearest neighbours (Å) after each atom.
Space group P4/mmm (No. 123)
Inequivalent atoms, fractional coordinates:
Na: 0.0000 0.0000 0.2426 x2  4 Na 3.26, 4 Sb 3.33, 4 Sn 3.43
Sn: 0.5000 0.5000 0.5000 x1  4 Sn 3.26, 8 Na 3.43
Sb: 0.5000 0.5000 0.0000 x1  4 Sb 3.26, 8 Na 3.33

The value obtained for the uncorrected formation energy is -243 meV/atom. The value obtained for the density of states at the Fermi level is 1.5 states/eV/f.u.

---

No. 8
Computed, not measured: a geometry-optimized MnCd2Se structure at the GGA-PBE level of DFT.

a = 3.3694 Å, b = 3.8830 Å, c = 13.3288 Å
α = 90.00°, β = 90.00°, γ = 90.00°
With the nearest neighbours (Å) after each atom.
Space group Immm (No. 71)
Inequivalent atoms, fractional coordinates:
Mn: 0.0000 0.0000 0.0000 x2  4 Se 2.57
Cd: 0.0000 0.5000 0.3097 x4  6 Cd 3.02-3.37, 2 Mn 3.04, 2 Se 3.19
Se: 0.0000 0.0000 0.5000 x2  4 Mn 2.57

The value obtained for the uncorrected formation energy is -9 meV/atom. The value obtained for the density of states at the Fermi level is 1.9 states/eV/f.u.

---

No. 9
Computed, not measured: a geometry-optimized BaCd2Pt structure at the GGA-PBE level of DFT.

a = 4.2998 Å, b = 4.3015 Å, c = 6.4194 Å
α = 90.00°, β = 90.07°, γ = 90.00°
With the nearest neighbours (Å) after each atom.
Space group Pm (No. 6)
Inequivalent atoms, fractional coordinates:
Ba: 0.0000 0.0000 0.0000 x1  4 Pt 3.33
Cd: 0.0006 0.5000 0.4995 x1  2 Pt 2.83, 4 Cd 3.04
Cd: 0.5005 0.0000 0.4991 x1  2 Pt 2.83, 4 Cd 3.04
Pt: 0.5002 0.5000 0.2125 x1  4 Cd 2.83

For the energy of formation from the pure elements, the calculation gives -374 meV/atom. The value obtained for the density of states at the Fermi level is 1.1 states/eV/f.u.

---

No. 10
Computed, not measured: a geometry-optimized CdHg2Pb structure at the GGA-PBE level of DFT.

a = 4.6253 Å, b = 4.6253 Å, c = 9.8790 Å
α = 90.00°, β = 90.00°, γ = 90.00°
With the nearest neighbours (Å) after each atom.
Space group I-4m2 (No. 119)
Inequivalent atoms, fractional coordinates:
Cd: 0.0000 0.0000 0.0000 x2  8 Hg 3.27-3.38, 4 Pb 3.38
Hg: 0.0000 0.0000 0.5000 x2  4 Cd 3.27, 4 Pb 3.38, 4 Hg 3.38
Hg: 0.0000 0.5000 0.7500 x2  4 Pb 3.27, 4 Cd 3.38, 4 Hg 3.38
Pb: 0.0000 0.5000 0.2500 x2  8 Hg 3.27-3.38, 4 Cd 3.38

For the energy of formation from the pure elements, the calculation gives 46 meV/atom. The value obtained for the density of states at the Fermi level is 1.9 states/eV/f.u.

---

No. 11
Computed, not measured: a geometry-optimized CsHgPtF6 structure at the GGA-PBE level of DFT.

a = 5.9051 Å, b = 5.9641 Å, c = 6.2429 Å
α = 90.98°, β = 91.70°, γ = 115.24°
With the nearest neighbours (Å) after each atom.
Space group P1 (No. 1)
Inequivalent atoms, fractional coordinates:
Cs: 0.0000 0.0000 0.0000 x1  6 F 2.97-3.03
Hg: 0.3252 0.6772 0.5007 x1  6 F 2.24-2.48
Pt: 0.6716 0.3273 0.4997 x1  4 F 2.00
F: 0.3817 0.3373 0.3321 x1  1 Pt 2.00
F: 0.4068 0.0147 0.7101 x1  1 Hg 2.24, 1 Pt 2.32
F: 0.6545 0.0337 0.3269 x1  1 Pt 2.00
F: 0.6659 0.6132 0.6690 x1  1 Pt 2.00
F: 0.9701 0.3412 0.6704 x1  1 Pt 2.00
F: 0.9819 0.5966 0.2910 x1  1 Hg 2.25, 1 Pt 2.31

The value obtained for the uncorrected formation energy is -1662 meV/atom.

---

No. 12
Computed, not measured: a geometry-optimized ScC3 structure at the GGA-PBE level of DFT.

a = 4.2394 Å, b = 4.2394 Å, c = 4.2394 Å
α = 90.00°, β = 90.00°, γ = 90.00°
With the nearest neighbours (Å) after each atom.
Space group Pm-3n (No. 223)
Inequivalent atoms, fractional coordinates:
Sc: 0.0000 0.0000 0.0000 x2  12 C 2.37
C: 0.0000 0.2500 0.5000 x6  2 C 2.12, 4 Sc 2.37

For the energy of formation from the pure elements, the calculation gives 2175 meV/atom. The value obtained for the density of states at the Fermi level is 2.5 states/eV/f.u.

---

For the records above, the corresponding DFT total energy values read -19.17, -49.57, -167.65, -39.19, -39.93, -81.28, -11.74, -29.04, -11.29, -10.08, -33.38, -50.61 eV for the cell shown.